An optimized crystal structure of Ca2MgTa, computed with GGA-PBE.

ΔH_f (0 K)	2.690	eV per formula unit
space-group type	I-4m2 (119)
E_tot	-3.690	eV per atom

```
Ca2MgTa
1.0
-2.384 2.384 4.821
2.384 -2.384 4.821
2.384 2.384 -4.821
Ca Mg Ta
2 1 1
Direct
0.000 0.000 0.000 Ca
0.750 0.250 0.500 Ca
0.250 0.750 0.500 Mg
0.500 0.500 0.000 Ta
```